Computed, not measured: KMg2Re after structural relaxation at the PBE level of DFT.

Total DFT energy (no corrections) ... -45.8 eV per cell
D(E_F) ... 10.9 states/eV per cell
Polymorph energy (0 for the lowest one) ... 0.7197 eV per atom
E_form ... 1322 meV per atom
Volume ... 37.5 A^3/atom

POSCAR file:
```
KMg2Re
1.0
5.701 0.000 0.000
0.000 5.701 0.000
0.000 0.000 18.449
K Mg Re
4 8 4
Direct
0.000 0.000 0.000
0.000 0.500 0.250
0.500 0.000 0.750
0.500 0.500 0.500
0.005 0.250 0.625
0.250 0.505 0.875
0.250 0.995 0.375
0.495 0.250 0.125
0.505 0.750 0.125
0.750 0.005 0.375
0.750 0.495 0.875
0.995 0.750 0.625
0.000 0.000 0.500
0.000 0.500 0.750
0.500 0.000 0.250
0.500 0.500 0.000
```